Entry 1:
Cr4ReOs | SCAN | single point on PBEsol structure

Cell lengths 4.679, 4.679, 4.679 Å; angles 60.00, 60.00, 60.00 degrees
Fractional positions:
Cr 0.374 0.374 0.877
Cr 0.877 0.374 0.374
Cr 0.374 0.877 0.374
Cr 0.374 0.374 0.374
Os 0.750 0.750 0.750
Re 0.000 0.000 0.000

Properties
Space-group type: F-43m, No. 216
E_tot: -36.08 eV per atom
Size of the total moment: 0.00 μB per formula unit
DFT formation energy: 4.1 meV per atom

***

Entry 2:
CaW3C | SCAN | single point on PBEsol structure

Cell lengths 4.252, 4.252, 4.252 Å; angles 90.00, 90.00, 90.00 degrees
Fractional positions:
Ca 0.500 0.500 0.500
W 0.000 0.500 0.000
W 0.500 0.000 0.000
W 0.000 0.000 0.500
C 0.000 0.000 0.000

Properties
Space-group type: Pm-3m, No. 221
E_tot: -45.03 eV per atom
Size of the total moment: 0.00 μB per formula unit
DFT formation energy: 736.7 meV per atom

***

Entry 3:
TlAgI2 | SCAN | single point on PBEsol structure

Cell lengths 6.900, 6.900, 6.900 Å; angles 107.37, 107.37, 113.75 degrees
Fractional positions:
Ag 0.250 0.750 0.500
Ag 0.750 0.250 0.500
I 0.182 0.682 0.864
I 0.818 0.318 0.136
I 0.318 0.182 0.500
I 0.682 0.818 0.500
Tl 0.250 0.250 0.000
Tl 0.750 0.750 0.000

Properties
Space-group type: I4/mcm, No. 140
Formation energy from raw total energies: -0.441 eV per atom
E_tot: -44.74 eV per atom
Excess energy over the best structure of this formula in the dataset: 0.0 meV per atom
Size of the total moment: 0.00 μB per formula unit

***

Entry 4:
ZnCr3S6O24 | SCAN | single point on PBEsol structure

Cell lengths 8.153, 8.153, 8.712 Å; angles 62.10, 62.10, 60.00 degrees
Fractional positions:
S 0.959 0.252 0.251
S 0.252 0.539 0.251
S 0.741 0.471 0.750
S 0.471 0.038 0.750
S 0.539 0.959 0.251
S 0.038 0.741 0.750
O 0.387 0.240 0.765
O 0.042 0.677 0.298
O 0.289 0.517 0.076
O 0.637 0.761 0.220
O 0.946 0.335 0.715
O 0.983 0.042 0.298
O 0.895 0.672 0.925
O 0.968 0.290 0.394
O 0.382 0.637 0.220
O 0.240 0.608 0.765
O 0.335 0.004 0.715
O 0.665 0.023 0.600
O 0.672 0.508 0.925
O 0.290 0.349 0.394
O 0.118 0.289 0.076
O 0.517 0.118 0.076
O 0.004 0.946 0.715
O 0.608 0.387 0.765
O 0.023 0.711 0.600
O 0.508 0.895 0.925
O 0.711 0.665 0.600
O 0.349 0.968 0.394
O 0.677 0.983 0.298
O 0.761 0.382 0.220
Cr 0.850 0.850 0.450
Cr 0.355 0.355 0.934
Cr 0.644 0.644 0.069
Zn 0.147 0.147 0.560

Properties
Space-group type: R3, No. 146
Formation energy from raw total energies: -1.753 eV per atom
E_tot: -9.87 eV per atom
Size of the total moment: 8.00 μB per formula unit

***

Entry 5:
BaZn2Au2 | SCAN | single point on PBEsol structure

Cell lengths 4.472, 4.472, 6.370 Å; angles 110.55, 110.55, 90.00 degrees
Fractional positions:
Au 0.627 0.627 0.255
Au 0.373 0.373 0.745
Ba 0.000 0.000 0.000
Zn 0.750 0.250 0.500
Zn 0.250 0.750 0.500

Properties
Space-group type: I4/mmm, No. 139
E_tot: -41.58 eV per atom
Size of the total moment: 0.00 μB per formula unit
DFT formation energy: -600.0 meV per atom

***

Entry 6:
Ta3FeS6 | SCAN | single point on PBEsol structure

Cell lengths 5.661, 5.661, 11.427 Å; angles 90.00, 90.00, 120.00 degrees
Fractional positions:
S 0.332 0.997 0.362
S 0.997 0.665 0.862
S 0.668 0.665 0.638
S 0.003 0.335 0.362
S 0.665 0.668 0.362
S 0.665 0.997 0.138
S 0.003 0.668 0.138
S 0.335 0.003 0.638
S 0.997 0.332 0.638
S 0.335 0.332 0.862
S 0.332 0.335 0.138
S 0.668 0.003 0.862
Ta 0.333 0.667 0.996
Ta 0.667 0.333 0.004
Ta 0.000 0.000 0.000
Ta 0.667 0.333 0.496
Ta 0.000 0.000 0.500
Ta 0.333 0.667 0.504
Fe 0.667 0.333 0.750
Fe 0.333 0.667 0.250

Properties
Space-group type: P6_322, No. 182
Formation energy from raw total energies: -1.082 eV per atom
E_tot: -28.65 eV per atom
Size of the total moment: 0.72 μB per formula unit